w) A geometry-optimized RuSCl2 structure, computed with PBE.

Computed properties:
Density of states at the Fermi level   3.8 states/eV/f.u.

a b c (Å): 12.5036 12.5036 12.5036
angles (deg): 13.07 13.07 13.07
Site moments in Bohr magnetons follow the coordinates.
Fractional positions:
Cl (0.9404, 0.9404, 0.9404)  0.00
Ru (0.0000, 0.0000, 0.0000)  0.01
Cl (0.0596, 0.0596, 0.0596)  0.00
S (0.5000, 0.5000, 0.5000)  0.18

x) A geometry-optimized RuSCl2 structure, computed with PBE.

Computed properties:
Density of states at the Fermi level   3.8 states/eV/f.u.

a b c (Å): 9.1744 9.1744 6.8488
angles (deg): 47.95 47.95 90.00
Site moments in Bohr magnetons follow the coordinates.
Fractional positions:
Ru (0.7500, 0.2500, 0.5000)  0.33
S (0.5000, 0.5000, 0.0000)  0.01
Cl (0.9681, 0.6250, 0.2500)  0.04
Cl (0.8750, 0.0319, 0.7500)  0.03
Cl (0.7819, 0.1250, 0.2500)  0.04
Cl (0.3750, 0.2181, 0.7500)  0.03
Ru (0.0000, 0.0000, 0.0000)  0.33
S (0.2500, 0.7500, 0.5000)  0.01

Of them, the most stable is x) and the least stable is w).